1.
Here is a geometry-optimized ScMo2Se structure from the Alexandria database. Energies are from GGA-PBE.

The excess energy over the best structure of this formula in the dataset is 0.022 eV per atom. The calculation puts the formation energy without anion corrections at -0.06 eV/atom.

It has space group R3m (No. 160, hexagonal axes), with a = 3.3070 Å, b = 3.3070 Å, c = 23.4864 Å, α = 90.00°, β = 90.00° and γ = 120.00°. The asymmetric unit holds Sc at (0.0000, 0.0000, 0.0000), Mo at (0.0000, 0.0000, 0.2399), Mo at (0.0000, 0.0000, 0.4995) and Se at (0.0000, 0.0000, 0.7521).

2.
Here is a geometry-optimized Ba2Ga4Cu5 structure from the Alexandria database. Energies are from GGA-PBE.

For the calculated formation energy, the calculation gives -0.199 eV per atom.

It has space group Fmmm (No. 69), with a = 5.913 Å, b = 10.751 Å, c = 14.256 Å, α = 90.00°, β = 90.00° and γ = 90.00°. The asymmetric unit holds Ba at (0.000, 0.000, 0.142), Ga at (0.000, 0.163, 0.375), Cu at (0.000, 0.000, 0.500), Cu at (0.250, 0.250, 0.000) and Cu at (0.250, 0.250, 0.250).

3.
Here is a geometry-optimized InReBr2 structure from the Alexandria database. Energies are from GGA-PBE.

The excess energy over the best structure of this formula in the dataset is 0.335 eV per atom. The calculation puts the formation energy without anion corrections at 0.50 eV/atom.

It has space group P4mm (No. 99), with a = 3.242 Å, b = 3.242 Å, c = 8.615 Å, α = 90.00°, β = 90.00° and γ = 90.00°. The asymmetric unit holds In at (0.000, 0.000, 0.000), Re at (0.500, 0.500, 0.212), Br at (0.000, 0.000, 0.386) and Br at (0.500, 0.500, 0.769).

4.
Here is a geometry-optimized ScCu5S4 structure from the Alexandria database. Energies are from GGA-PBE.

The calculation puts the formation energy without anion corrections at -0.51 eV/atom.

It has space group Immm (No. 71), with a = 3.764 Å, b = 6.826 Å, c = 12.470 Å, α = 90.00°, β = 90.00° and γ = 90.00°. The asymmetric unit holds Sc at (0.000, 0.000, 0.000), Cu at (0.000, 0.291, 0.320), Cu at (0.000, 0.500, 0.000), S at (0.000, 0.000, 0.216) and S at (0.000, 0.229, 0.500).

5.
Here is a geometry-optimized Rb2CaAg2 structure from the Alexandria database. Energies are from GGA-PBE.

The excess energy over the best structure of this formula in the dataset is 0.160 eV per atom. For the calculated formation energy, the calculation gives 0.234 eV per atom.

It has space group P4/mbm (No. 127), with a = 9.920 Å, b = 9.920 Å, c = 3.871 Å, α = 90.00°, β = 90.00° and γ = 90.00°. The asymmetric unit holds Rb at (0.126, 0.374, 0.000), Ca at (0.000, 0.000, 0.000) and Ag at (0.177, 0.677, 0.500).

6.
Here is a geometry-optimized Tb2SmAl6 structure from the Alexandria database. Energies are from GGA-PBE.

The excess energy over the best structure of this formula in the dataset is 0.241 eV per atom. For the calculated formation energy, the calculation gives -0.250 eV per atom.

It has space group Immm (No. 71), with a = 4.410 Å, b = 7.200 Å, c = 13.523 Å, α = 90.00°, β = 90.00° and γ = 90.00°. The asymmetric unit holds Tb at (0.000, 0.000, 0.124), Sm at (0.000, 0.500, 0.000), Al at (0.000, 0.194, 0.315) and Al at (0.000, 0.315, 0.500).

7.
Here is a geometry-optimized BaNaTiW2 structure from the Alexandria database. Energies are from GGA-PBE.

For the calculated formation energy, the calculation gives 1.621 eV per atom.

It has space group P4/mmm (No. 123), with a = 4.732 Å, b = 4.732 Å, c = 6.083 Å, α = 90.00°, β = 90.00° and γ = 90.00°. The asymmetric unit holds Ba at (0.000, 0.000, 0.000), Na at (0.500, 0.500, 0.000), Ti at (0.000, 0.000, 0.500) and W at (0.000, 0.500, 0.500).

8.
Here is a geometry-optimized Li3Tb2AlSe6 structure from the Alexandria database. Energies are from GGA-PBE.

The calculation puts the formation energy without anion corrections at -1.43 eV/atom.

It has space group C2/m (No. 12), with a = 6.901 Å, b = 11.961 Å, c = 6.852 Å, α = 90.00°, β = 109.48° and γ = 90.00°. The asymmetric unit holds Li at (0.000, 0.000, 0.000), Li at (0.000, 0.341, 0.000), Tb at (0.000, 0.168, 0.500), Al at (0.000, 0.500, 0.500), Se at (0.227, 0.500, 0.261) and Se at (0.236, 0.346, 0.746).

9.
Here is a geometry-optimized Te2MoP structure from the Alexandria database. Energies are from GGA-PBE.

The calculation puts the formation energy without anion corrections at 0.43 eV/atom.

It has space group P4/mmm (No. 123), with a = 3.387 Å, b = 3.387 Å, c = 6.960 Å, α = 90.00°, β = 90.00° and γ = 90.00°. The asymmetric unit holds Te at (0.000, 0.000, 0.235), Mo at (0.500, 0.500, 0.000) and P at (0.500, 0.500, 0.500).

10.
Here is a geometry-optimized Nd3YCd structure from the Alexandria database. Energies are from GGA-PBE.

The excess energy over the best structure of this formula in the dataset is 0.112 eV per atom. For the calculated formation energy, the calculation gives -0.003 eV per atom.

It has space group Pmmn (No. 59, origin choice 2), with a = 3.826 Å, b = 10.637 Å, c = 8.298 Å, α = 90.00°, β = 90.00° and γ = 90.00°. The asymmetric unit holds Nd at (0.250, 0.001, 0.240), Nd at (0.250, 0.750, 0.950), Y at (0.250, 0.750, 0.558) and Cd at (0.250, 0.250, 0.736).

11.
Here is a geometry-optimized Pm5Ho4Sc2 structure from the Alexandria database. Energies are from GGA-PBE.

The excess energy over the best structure of this formula in the dataset is 0.151 eV per atom. For the calculated formation energy, the calculation gives 0.235 eV per atom.

It has space group Immm (No. 71), with a = 3.470 Å, b = 9.135 Å, c = 22.851 Å, α = 90.00°, β = 90.00° and γ = 90.00°. The asymmetric unit holds Pm at (0.000, 0.000, 0.000), Pm at (0.000, 0.295, 0.348), Ho at (0.000, 0.189, 0.500), Ho at (0.000, 0.500, 0.099) and Sc at (0.000, 0.500, 0.230).

12.
Here is a geometry-optimized Ac2DyTaO8 structure from the Alexandria database. Energies are from GGA-PBE.

The calculation puts the formation energy without anion corrections at -2.85 eV/atom.

It has space group P2/m (No. 10), with a = 4.465 Å, b = 7.207 Å, c = 5.621 Å, α = 90.00°, β = 93.47° and γ = 90.00°. The asymmetric unit holds Ac at (0.000, 0.247, 0.000), Dy at (0.500, 0.500, 0.500), Ta at (0.500, 0.000, 0.500), O at (0.061, 0.000, 0.380), O at (0.067, 0.500, 0.258) and O at (0.460, 0.208, 0.733).

| no. | uncorrected energy (eV per atom) | density of states at the Fermi level (states/eV/cell) |
| --- | --- | --- |
| 1 | -7.928 | 8.5 |
| 2 | -3.511 | 21.5 |
| 3 | -4.128 | 1.3 |
| 4 | -4.842 | 0.3 |
| 5 | -1.693 | 5.3 |
| 6 | -4.299 | 10.5 |
| 7 | -5.788 | 6.9 |
| 8 | -4.738 | 0.0 |
| 9 | -5.199 | 2.4 |
| 10 | -4.339 | 15.4 |
| 11 | -4.740 | 36.8 |
| 12 | -8.212 | 0.0 |